Computed, not measured: a relaxed structure of GdAgPt2 at the GGA-PBE level of DFT.

Structure (extended XYZ):
```
4
Lattice="-2.5178 -2.4954 -0.6105 2.1904 -1.6385 -2.3359 2.2133 -3.3087 4.3963" Properties=species:S:1:pos:R:3 pbc="T T T"
Ag -0.1637 -2.0670 -1.4732
Gd 0.9430 -3.7214 0.7249
Pt 1.6775 -2.5078 3.3321
Pt 0.5358 -0.8010 1.0642
```

Results
spin magnetization = 7.08 Bohr magnetons per cell
uncorrected energy = -7.931 eV/atom
formation enthalpy at 0 K = -0.6778 eV/atom
polymorph energy (0 for the lowest one) = 87 meV per atom
calculated volume = 76.7 Å³/cell



Computed, not measured: a relaxed structure of AcCu4P2Au at the GGA-PBE level of DFT.

Structure (extended XYZ):
```
8
Lattice="-2.2610 -0.7032 -3.2397 -1.5201 -3.2651 1.7696 -6.5804 4.9681 3.5141" Properties=species:S:1:pos:R:3 pbc="T T T"
Cu -2.0380 -0.6676 1.5673
Cu -6.0624 2.3706 3.7164
Cu -6.4329 3.6516 1.2117
Cu -2.4085 0.6133 -0.9374
Ac -3.2902 2.4840 1.7570
P -6.3771 1.4031 1.6609
P -3.9843 -0.4034 0.3831
Au 0.0000 0.0000 0.0000
```

Results
spin magnetization = 0.00 Bohr magnetons per cell
uncorrected energy = -4.676 eV/atom
formation enthalpy at 0 K = -0.3527 eV/atom
calculated volume = 144.3 Å³/cell



Computed, not measured: a relaxed structure of Tm2SeBr at the GGA-PBE level of DFT.

Structure (extended XYZ):
```
4
Lattice="-2.8834 2.3443 -0.0636 -1.8953 0.6997 3.1196 3.3802 7.1759 2.6581" Properties=species:S:1:pos:R:3 pbc="T T T"
Br -0.6984 5.1110 2.8573
Tm 2.2617 5.7902 2.2894
Tm -0.4835 2.3891 1.3844
Se -3.1775 2.0395 2.0401
```

Results
spin magnetization = 0.19 Bohr magnetons per cell
uncorrected energy = -4.741 eV/atom
raw formation energy = -1.22 eV per atom
polymorph energy (0 for the lowest one) = 0 meV per atom
calculated volume = 96.7 Å³/cell



Computed, not measured: a relaxed structure of InFe2Mo at the GGA-PBE level of DFT.

Structure (extended XYZ):
```
4
Lattice="-0.0391 2.3437 1.4114 -0.5936 -2.0144 1.7540 8.2550 -0.9132 1.7451" Properties=species:S:1:pos:R:3 pbc="T T T"
Fe 4.2344 -0.4684 0.8952
Fe 8.1481 -0.9014 1.7225
In 1.7474 -0.0636 2.0190
Mo 5.8749 -0.5203 2.8915
```

Results
spin magnetization = 4.40 Bohr magnetons per cell
uncorrected energy = -7.307 eV/atom
formation enthalpy at 0 K = 0.3166 eV/atom
calculated volume = 60.7 Å³/cell



Computed, not measured: a relaxed structure of Th6ZnCu at the GGA-PBE level of DFT.

Structure (extended XYZ):
```
8
Lattice="4.9048 0.0002 1.4769 -0.4451 4.8844 1.4774 -0.1405 -0.1550 9.3498" Properties=species:S:1:pos:R:3 pbc="T T T"
Th 1.0462 1.1454 5.4080
Th 2.8091 0.3900 8.4362
Th 1.5100 4.3395 3.8679
Th 0.1344 2.8322 8.4365
Th 4.1847 1.8974 3.8676
Th 3.2729 3.5841 6.8962
Cu 0.0000 0.0000 0.0000
Zn 2.2298 2.4423 1.4771
```

Results
spin magnetization = 0.00 Bohr magnetons per cell
uncorrected energy = -6.263 eV/atom
formation enthalpy at 0 K = -0.0265 eV/atom
calculated volume = 226.2 Å³/cell



Question: Among the records above, which one has the highest calculated volume?
Answer: Th6ZnCu